Here is HgP2HCl after structural relaxation from Alexandria. Energies are from GGA-PBE.

a = 5.0728 Å, b = 5.0728 Å, c = 5.6039 Å
α = 90.00°, β = 90.00°, γ = 90.00°
Sites, in units of the cell vectors:
P: 0.0000 0.5000 0.0000
P: 0.5000 0.0000 0.0000
Hg: 0.0000 0.0000 0.0000
H: 0.5000 0.5000 0.5000
Cl: 0.0000 0.0000 0.5000

Computed properties:
crystal system: tetragonal
N(E_F): 0.879 states/eV per atom
offset from the most stable computed form: 788 meV/atom
space-group type: P4/mmm
calculated density: 3.443 g/cm³

***

Here is HgP2HCl after structural relaxation from Alexandria. Energies are from GGA-PBE.

a = 3.7185 Å, b = 3.7185 Å, c = 7.0865 Å
α = 90.00°, β = 90.00°, γ = 90.00°
Sites, in units of the cell vectors:
P: 0.0000 0.5000 0.0000
P: 0.5000 0.0000 0.0000
Hg: 0.5000 0.5000 0.5000
H: 0.0000 0.0000 0.0000
Cl: 0.0000 0.0000 0.5000

Computed properties:
crystal system: tetragonal
N(E_F): 0.607 states/eV per atom
offset from the most stable computed form: 0 meV/atom
space-group type: P4/mmm
calculated density: 5.067 g/cm³